# 1
First-principles (PBE-GGA) data for PuZnOs2 after structural relaxation, as listed in Alexandria via LeMat-Bulk.

Cell and atoms, written as POSCAR:
```
PuZnOs2
1.0
3.735 0.000 0.000
0.000 4.190 0.000
0.000 0.000 4.190
Zn Os Pu
1 2 1
direct
0.500 0.500 0.500
0.000 0.000 0.500
0.000 0.500 0.000
0.500 0.000 0.000
```

Space group   P4/mmm, No. 123
Total magnetization   2.81 μB per formula unit

---

# 2
First-principles (PBE-GGA) data for PuZn11Os after structural relaxation, as listed in Alexandria via LeMat-Bulk.

Cell and atoms, written as POSCAR:
```
PuZn11Os
1.0
4.738 0.091 1.974
2.420 6.259 1.008
-0.136 0.046 6.999
Pu Zn Os
1 11 1
direct
0.000 0.000 0.000
0.286 0.217 0.221
0.714 0.783 0.779
0.494 0.783 0.221
0.506 0.217 0.779
0.373 0.641 0.652
0.627 0.359 0.348
0.975 0.359 0.652
0.025 0.641 0.348
0.000 0.500 0.000
0.500 0.000 0.500
0.000 0.000 0.500
0.500 0.500 0.000
```

Space group   C2/m, No. 12
Total magnetization   5.70 μB per formula unit

---

# 3
First-principles (PBE-GGA) data for PuZn2Os after structural relaxation, as listed in Alexandria via LeMat-Bulk.

Cell and atoms, written as POSCAR:
```
PuZn2Os
1.0
-1.431 0.412 -2.230
1.146 -0.309 -2.404
-2.972 -10.235 -1.597
Zn Os Pu
2 1 1
direct
0.096 0.096 0.712
0.904 0.904 0.288
0.500 0.500 0.500
0.000 0.000 0.000
```

Space group   R-3m, No. 166
Total magnetization   2.72 μB per formula unit

---

# 4
First-principles (PBE-GGA) data for PuZnOs after structural relaxation, as listed in Alexandria via LeMat-Bulk.

Cell and atoms, written as POSCAR:
```
PuZnOs
1.0
2.530 0.000 0.000
0.000 2.530 0.000
-1.265 -1.265 8.000
Zn Os Pu
1 1 1
direct
0.135 0.135 0.269
0.769 0.769 0.539
0.946 0.946 0.892
```

Space group   I4mm, No. 107
Total magnetization   0.41 μB per formula unit

---

# 5
First-principles (PBE-GGA) data for Pu2Zn16Os after structural relaxation, as listed in Alexandria via LeMat-Bulk.

Cell and atoms, written as POSCAR:
```
Pu2Zn16Os
1.0
-5.432 -3.617 1.888
3.412 -5.345 2.438
-0.026 1.943 6.510
Pu Zn Os
2 16 1
direct
0.677 0.677 0.677
0.341 0.341 0.341
0.711 0.998 0.285
0.998 0.285 0.711
0.285 0.711 0.998
0.998 0.711 0.285
0.711 0.285 0.998
0.285 0.998 0.711
0.359 0.839 0.359
0.839 0.359 0.359
0.359 0.359 0.839
0.648 0.150 0.648
0.150 0.648 0.648
0.648 0.648 0.150
0.998 0.502 0.998
0.502 0.998 0.998
0.998 0.998 0.502
0.100 0.100 0.100
0.894 0.894 0.894
```

Space group   R3m, No. 160
Total magnetization   10.94 μB per formula unit

---

# 6
First-principles (PBE-GGA) data for PuZrOs2 after structural relaxation, as listed in Alexandria via LeMat-Bulk.

Cell and atoms, written as POSCAR:
```
PuZrOs2
1.0
-0.303 3.118 0.823
0.699 -0.743 3.074
6.883 1.018 -1.319
Os Zr Pu
2 1 1
direct
0.000 0.000 0.765
0.000 0.000 0.235
0.500 0.500 0.000
0.500 0.500 0.500
```

Space group   P4/mmm, No. 123
Total magnetization   4.21 μB per formula unit

---

# 7
First-principles (PBE-GGA) data for PuZr4Os5 after structural relaxation, as listed in Alexandria via LeMat-Bulk.

Cell and atoms, written as POSCAR:
```
PuZr4Os5
1.0
3.287 0.000 0.000
0.000 3.287 0.000
0.000 0.000 16.766
Pu Zr Os
1 4 5
direct
0.000 0.000 0.000
0.000 0.000 0.204
0.000 0.000 0.402
0.000 0.000 0.598
0.000 0.000 0.796
0.500 0.500 0.110
0.500 0.500 0.305
0.500 0.500 0.500
0.500 0.500 0.695
0.500 0.500 0.890
```

Space group   P4/mmm, No. 123
Total magnetization   4.67 μB per formula unit

---

# 8
First-principles (PBE-GGA) data for Rb3Os after structural relaxation, as listed in Alexandria via LeMat-Bulk.

Cell and atoms, written as POSCAR:
```
Rb3Os
1.0
-5.287 1.868 2.511
1.469 -2.679 5.330
3.813 4.044 -2.617
Os Rb
1 3
direct
0.000 0.000 0.000
0.750 0.250 0.500
0.250 0.750 0.500
0.500 0.500 0.000
```

Space group   I4/mmm, No. 139
Total magnetization   1.56 μB per formula unit

---

Asked for uncorrected energy across the records above, the calculation gives -37.5, -40.4, -26.6, -24.2, -62.1, -46.0, -108.5, -8.5 eV per cell in order.